# 1
Density functional theory data (GGA-PBE) for crystalline YTlTe2 at its relaxed geometry.

a = 17.7478 Å, b = 8.1458 Å, c = 8.1458 Å
α = 94.67°, β = 103.14°, γ = 76.86°
Atoms (fractional coordinates):
Y: 0.6212 0.8588 0.1175
Y: 0.8788 0.6175 0.3588
Y: 0.3788 0.1412 0.8825
Y: 0.8194 0.7568 0.8174
Y: 0.3194 0.6826 0.7432
Y: 0.1212 0.3825 0.6412
Y: 0.6806 0.3174 0.2568
Y: 0.1806 0.2432 0.1826
Tl: 0.3922 0.5496 0.2940
Tl: 0.1078 0.7940 0.0496
Tl: 0.8922 0.2060 0.9504
Tl: 0.4132 0.9941 0.3997
Tl: 0.0868 0.8997 0.4941
Tl: 0.9132 0.1003 0.5059
Tl: 0.6078 0.4504 0.7060
Tl: 0.5868 0.0059 0.6003
Te: 0.7500 0.5476 0.0476
Te: 0.2500 0.0536 0.5536
Te: 0.4831 0.8032 0.8128
Te: 0.5169 0.1968 0.1872
Te: 0.9831 0.6872 0.6968
Te: 0.5679 0.6420 0.3262
Te: 0.0679 0.1738 0.8580
Te: 0.2913 0.9316 0.0499
Te: 0.2500 0.4524 0.9524
Te: 0.2087 0.5499 0.4316
Te: 0.0169 0.3128 0.3032
Te: 0.9321 0.8262 0.1420
Te: 0.4321 0.3580 0.6738
Te: 0.7913 0.4501 0.5684
Te: 0.7500 0.9464 0.4464
Te: 0.7087 0.0684 0.9501

## Properties
Uncorrected formation energy (eV/atom): -0.92
SG: C2/c (15)

***

# 2
Density functional theory data (GGA-PBE) for crystalline Ca2Pr8Er3 at its relaxed geometry.

a = 6.3628 Å, b = 8.2897 Å, c = 9.7553 Å
α = 74.90°, β = 70.53°, γ = 74.91°
Atoms (fractional coordinates):
Er: 0.7627 0.8985 0.0376
Er: 0.0000 0.5000 0.5000
Er: 0.2373 0.1015 0.9624
Pr: 0.6880 0.3381 0.8835
Pr: 0.5384 0.2613 0.5803
Pr: 0.4616 0.7387 0.4197
Pr: 0.3120 0.6619 0.1165
Pr: 0.9243 0.9504 0.3458
Pr: 0.3842 0.1885 0.2693
Pr: 0.0757 0.0496 0.6542
Pr: 0.6158 0.8115 0.7307
Ca: 0.8475 0.4243 0.1918
Ca: 0.1525 0.5757 0.8082

## Properties
SG: P-1 (2)
Energy of formation from the pure elements (eV/atom): 0.04

***

# 3
Density functional theory data (GGA-PBE) for crystalline BeCrBr2 at its relaxed geometry.

a = 3.6581 Å, b = 3.6581 Å, c = 10.3404 Å
α = 90.00°, β = 90.00°, γ = 127.14°
Atoms (fractional coordinates):
Br: 0.0000 0.0000 0.5970
Br: 0.0000 0.0000 0.9030
Be: 0.5000 0.5000 0.7500
Cr: 0.5000 0.5000 0.2500

## Properties
Uncorrected formation energy (eV/atom): 0.29
SG: Cmmm (65)
Offset from the most stable computed form (eV per atom): 0.3663

***

# 4
Density functional theory data (GGA-PBE) for crystalline CaMg2VIr at its relaxed geometry.

a = 5.0441 Å, b = 4.7977 Å, c = 5.0441 Å
α = 90.00°, β = 90.00°, γ = 90.00°
Atoms (fractional coordinates):
Ir: 0.0000 0.0000 0.0000
Mg: 0.5000 0.0000 0.0000
Mg: 0.0000 0.0000 0.5000
V: 0.0000 0.5000 0.0000
Ca: 0.5000 0.5000 0.5000

## Properties
SG: P4/mmm (123)
Energy of formation from the pure elements (eV/atom): 0.08

***

# 5
Density functional theory data (GGA-PBE) for crystalline MgAgTe2 at its relaxed geometry.

a = 7.2245 Å, b = 7.2245 Å, c = 7.2245 Å
α = 148.06°, β = 147.88°, γ = 45.93°
Atoms (fractional coordinates):
Mg: 0.2102 0.7102 0.5000
Te: 0.7893 0.2893 0.5000
Te: 0.0417 0.0417 0.0000
Ag: 0.4588 0.4588 0.0000

## Properties
Uncorrected formation energy (eV/atom): -0.23
SG: Imm2 (44)

***

# 6
Density functional theory data (GGA-PBE) for crystalline TaICl3 at its relaxed geometry.

a = 5.5601 Å, b = 5.5601 Å, c = 5.5601 Å
α = 90.00°, β = 90.00°, γ = 90.00°
Atoms (fractional coordinates):
I: 0.0000 0.0000 0.0000
Cl: 0.0000 0.5000 0.0000
Cl: 0.5000 0.0000 0.0000
Cl: 0.0000 0.0000 0.5000
Ta: 0.5000 0.5000 0.5000

## Properties
Uncorrected formation energy (eV/atom): 1.27
SG: Pm-3m (221)
Offset from the most stable computed form (eV per atom): 2.3295